(1)
LaAg2Br | PBE | relaxed

Calculated values
E_tot = -14.30 eV/cell
SG = C2/m
Formation energy (no corrections) = -0.50 eV per atom
E above lowest polymorph = 0.061 eV/atom
Total magnetic moment = 0.00 μB/cell
Calculated volume = 25.0 Å³/atom

Cell lengths 6.3681, 6.3681, 4.6510 Å; angles 111.32, 111.32, 35.06 degrees
Closest atoms and distances in Å follow each position.
Fractional coordinates of all 4 atoms:
1 La 0.0000 0.0000 0.0000  4 Br 3.01, 4 Ag 3.35
2 Ag 0.2549 0.2549 0.7547  4 Ag 3.02, 2 La 3.35
3 Ag 0.7451 0.7451 0.2453  4 Ag 3.02, 2 La 3.35
4 Br 0.5000 0.5000 0.5000  4 La 3.01

(2)
CaBe2Br6 | PBE | relaxed

Calculated values
E_tot = -62.27 eV/cell
SG = C2/c
Formation energy (no corrections) = -1.29 eV per atom
Total magnetic moment = 0.00 μB/cell
Calculated volume = 30.4 Å³/atom

Cell lengths 9.4877, 9.4877, 6.6324 Å; angles 106.79, 106.79, 84.80 degrees
Closest atoms and distances in Å follow each position.
Fractional coordinates of all 18 atoms:
1 Ca 0.2475 0.7525 0.7500  6 Br 2.85-3.16
2 Ca 0.7525 0.2475 0.2500  6 Br 2.85-3.16
3 Be 0.1289 0.2958 0.6544  4 Br 2.13-2.34
4 Be 0.2958 0.1289 0.1544  4 Br 2.13-2.34
5 Be 0.7042 0.8711 0.8456  4 Br 2.13-2.34
6 Be 0.8711 0.7042 0.3456  4 Br 2.13-2.34
7 Br 0.0867 0.6546 0.2994  1 Be 2.15
8 Br 0.0933 0.2186 0.2890  2 Be 2.25-2.34
9 Br 0.2186 0.0933 0.7890  2 Be 2.25-2.34
10 Br 0.2892 0.4646 0.8236  1 Be 2.13
11 Br 0.3454 0.9133 0.2006  1 Be 2.15
12 Br 0.4646 0.2892 0.3236  1 Be 2.13
13 Br 0.5354 0.7108 0.6764  1 Be 2.13
14 Br 0.6546 0.0867 0.7994  1 Be 2.15
15 Br 0.7108 0.5354 0.1764  1 Be 2.13
16 Br 0.7814 0.9067 0.2110  2 Be 2.25-2.34
17 Br 0.9067 0.7814 0.7110  2 Be 2.25-2.34
18 Br 0.9133 0.3454 0.7006  1 Be 2.15

(3)
Zn2CuAu2 | PBE | relaxed

Calculated values
E_tot = -27.79 eV/cell
SG = C2/c
Formation enthalpy at 0 K = -0.139 eV per atom
E above lowest polymorph = 0.000 eV/atom
Total magnetic moment = 0.00 μB/cell
Calculated volume = 15.6 Å³/atom

Cell lengths 5.4054, 5.4054, 7.1332 Å; angles 110.02, 110.02, 53.91 degrees
Closest atoms and distances in Å follow each position.
Fractional coordinates of all 10 atoms:
1 Zn 0.0341 0.3515 0.1436  3 Cu 2.71-2.90, 6 Au 2.74-2.83, 3 Zn 2.82-2.87
2 Zn 0.3515 0.0341 0.6436  3 Cu 2.71-2.90, 6 Au 2.74-2.83, 3 Zn 2.82-2.87
3 Zn 0.6485 0.9659 0.3564  3 Cu 2.71-2.90, 6 Au 2.74-2.83, 3 Zn 2.82-2.87
4 Zn 0.9659 0.6485 0.8564  3 Cu 2.71-2.90, 6 Au 2.74-2.83, 3 Zn 2.82-2.87
5 Cu 0.1597 0.8403 0.2500  6 Zn 2.71-2.90, 6 Au 2.77-2.85
6 Cu 0.8403 0.1597 0.7500  6 Zn 2.71-2.90, 6 Au 2.77-2.85
7 Au 0.2341 0.5588 0.5418  6 Zn 2.74-2.83, 3 Cu 2.77-2.85, 3 Au 2.79-2.87
8 Au 0.4412 0.7659 0.9582  6 Zn 2.74-2.83, 3 Cu 2.77-2.85, 3 Au 2.79-2.87
9 Au 0.5588 0.2341 0.0418  6 Zn 2.74-2.83, 3 Cu 2.77-2.85, 3 Au 2.79-2.87
10 Au 0.7659 0.4412 0.4582  6 Zn 2.74-2.83, 3 Cu 2.77-2.85, 3 Au 2.79-2.87

(4)
PmVPb | PBE | relaxed

Calculated values
E_tot = -34.51 eV/cell
SG = P4/nmm
Formation enthalpy at 0 K = 0.108 eV per atom
Total magnetic moment = 0.00 μB/cell
Calculated volume = 25.0 Å³/atom

Cell lengths 3.3903, 3.3903, 13.0705 Å; angles 90.00, 90.00, 90.00 degrees
Closest atoms and distances in Å follow each position.
Fractional coordinates of all 6 atoms:
1 Pm 0.2500 0.2500 0.2002  5 V 3.10-3.21, 4 Pm 3.39
2 Pm 0.7500 0.7500 0.7998  5 V 3.10-3.21, 4 Pm 3.39
3 V 0.2500 0.2500 0.9631  4 V 2.58
4 V 0.7500 0.7500 0.0369  4 V 2.58
5 Pb 0.2500 0.2500 0.5984  8 Pb 3.39-3.52, 4 Pm 3.56
6 Pb 0.7500 0.7500 0.4016  8 Pb 3.39-3.52, 4 Pm 3.56

(5)
CdHgRu2 | PBE | relaxed

Calculated values
E_tot = -17.60 eV/cell
SG = I-4m2
Formation enthalpy at 0 K = 0.541 eV per atom
E above lowest polymorph = 0.344 eV/atom
Total magnetic moment = 1.36 μB/cell
Calculated volume = 17.0 Å³/atom

Cell lengths 4.9068, 4.9068, 4.9068 Å; angles 129.76, 129.76, 73.79 degrees
Closest atoms and distances in Å follow each position.
Fractional coordinates of all 4 atoms:
1 Cd 0.0000 0.0000 0.0000  4 Hg 2.86, 8 Ru 2.86-2.95
2 Hg 0.2500 0.7500 0.5000  4 Cd 2.86, 8 Ru 2.86-2.95
3 Ru 0.5000 0.5000 0.0000  4 Hg 2.86, 4 Ru 2.86, 4 Cd 2.95
4 Ru 0.7500 0.2500 0.5000  4 Cd 2.86, 4 Ru 2.86, 4 Hg 2.95

(6)
TbFe3H6 | PBE | relaxed

Calculated values
E_tot = -51.69 eV/cell
SG = P1
Total magnetic moment = 5.77 μB/cell
Calculated volume = 8.3 Å³/atom

Cell lengths 4.3900, 4.3908, 5.5510 Å; angles 89.94, 66.75, 60.03 degrees
Closest atoms and distances in Å follow each position.
Fractional coordinates of all 10 atoms:
1 Tb 0.0000 0.0000 0.0000  9 H 2.31-2.36
2 Fe 0.3674 0.8171 0.4478  3 H 1.70
3 Fe 0.5938 0.2036 0.6083  6 H 1.70-1.76
4 Fe 0.9347 0.5329 0.5968  6 H 1.73-1.75
5 H 0.0290 0.7979 0.3843  3 Fe 1.70-1.76
6 H 0.1094 0.4518 0.8384  2 Fe 1.70-1.75
7 H 0.4117 0.1748 0.3837  3 Fe 1.70-1.76
8 H 0.6001 0.9480 0.8383  2 Fe 1.70-1.75
9 H 0.6130 0.4388 0.8386  2 Fe 1.70-1.75
10 H 0.7884 0.4153 0.3835  3 Fe 1.70-1.76

(7)
DyAlGa2Ni4 | PBE | relaxed

Calculated values
E_tot = -41.58 eV/cell
SG = R-3m
Formation enthalpy at 0 K = -0.507 eV per atom
Total magnetic moment = 0.00 μB/cell
Calculated volume = 14.5 Å³/atom

Cell lengths 8.4189, 8.4189, 8.4189 Å; angles 28.00, 28.00, 28.00 degrees
Closest atoms and distances in Å follow each position.
Fractional coordinates of all 8 atoms:
1 Dy 0.0000 0.0000 0.0000  8 Ni 2.90-3.23, 6 Ga 3.23
2 Al 0.5000 0.5000 0.5000  8 Ni 2.34-2.49
3 Ga 0.2423 0.2423 0.2423  7 Ni 2.40-2.65
4 Ga 0.7577 0.7577 0.7577  7 Ni 2.40-2.65
5 Ni 0.1332 0.1332 0.1332  3 Al 2.49, 4 Ga 2.56-2.65
6 Ni 0.4036 0.4036 0.4036  1 Al 2.34, 3 Ga 2.40
7 Ni 0.5964 0.5964 0.5964  1 Al 2.34, 3 Ga 2.40
8 Ni 0.8668 0.8668 0.8668  3 Al 2.49, 4 Ga 2.56-2.65

(8)
BaSi2Cl | PBE | relaxed

Calculated values
E_tot = -28.93 eV/cell
SG = I-42d
Formation energy (no corrections) = 0.04 eV per atom
E above lowest polymorph = 0.758 eV/atom
Total magnetic moment = 0.00 μB/cell
Calculated volume = 36.5 Å³/atom

Cell lengths 7.8317, 7.8317, 7.8317 Å; angles 96.82, 96.82, 139.70 degrees
Closest atoms and distances in Å follow each position.
Fractional coordinates of all 8 atoms:
1 Ba 0.0000 0.0000 0.0000  2 Cl 2.70
2 Ba 0.7500 0.2500 0.5000  2 Cl 2.70
3 Si 0.1267 0.6250 0.0017  2 Si 2.70
4 Si 0.3750 0.3767 0.5017  2 Si 2.70
5 Si 0.6233 0.1250 0.9983  2 Si 2.70
6 Si 0.8750 0.8733 0.4983  2 Si 2.70
7 Cl 0.2500 0.7500 0.5000  2 Ba 2.70
8 Cl 0.5000 0.5000 0.0000  2 Ba 2.70

(9)
KNbTc2C | PBE | relaxed

Calculated values
E_tot = -31.41 eV/cell
SG = P4/mmm
Formation enthalpy at 0 K = 1.942 eV per atom
Total magnetic moment = 3.63 μB/cell
Calculated volume = 21.8 Å³/atom

Cell lengths 4.9628, 4.9628, 4.4201 Å; angles 90.00, 90.00, 90.00 degrees
Closest atoms and distances in Å follow each position.
Fractional coordinates of all 5 atoms:
1 K 0.0000 0.0000 0.0000  8 Tc 3.32, 4 C 3.51
2 Nb 0.5000 0.5000 0.5000  2 C 2.21
3 Tc 0.0000 0.5000 0.5000  2 Nb 2.48
4 Tc 0.5000 0.0000 0.5000  2 Nb 2.48
5 C 0.5000 0.5000 0.0000  2 Nb 2.21

(10)
Pr3Y7Tm | PBE | relaxed

Calculated values
E_tot = -62.14 eV/cell
SG = P3m1
Formation enthalpy at 0 K = 0.174 eV per atom
E above lowest polymorph = 0.051 eV/atom
Total magnetic moment = 0.00 μB/cell
Calculated volume = 35.0 Å³/atom

Cell lengths 7.1356, 7.1356, 8.7273 Å; angles 90.00, 90.00, 120.00 degrees
Closest atoms and distances in Å follow each position.
Fractional coordinates of all 11 atoms:
1 Pr 0.1671 0.3341 0.0000  4 Pr 3.56-3.58, 5 Y 3.58-3.61, 1 Tm 3.60
2 Pr 0.1671 0.8329 0.0000  4 Pr 3.56-3.58, 5 Y 3.58-3.61, 1 Tm 3.60
3 Pr 0.6659 0.8329 0.0000  4 Pr 3.56-3.58, 5 Y 3.58-3.61, 1 Tm 3.60
4 Y 0.0000 0.0000 0.6607  9 Y 3.50-3.57, 3 Pr 3.61
5 Y 0.0020 0.5010 0.6610  1 Tm 3.48, 8 Y 3.51-3.59, 2 Pr 3.60
6 Y 0.3320 0.1660 0.3360  7 Y 3.50-3.58, 2 Tm 3.57, 2 Pr 3.58
7 Y 0.4990 0.5010 0.6610  1 Tm 3.48, 8 Y 3.51-3.59, 2 Pr 3.60
8 Y 0.4990 0.9980 0.6610  1 Tm 3.48, 8 Y 3.51-3.59, 2 Pr 3.60
9 Y 0.8340 0.1660 0.3360  7 Y 3.50-3.58, 2 Tm 3.57, 2 Pr 3.58
10 Y 0.8340 0.6680 0.3360  7 Y 3.50-3.58, 2 Tm 3.57, 2 Pr 3.58
11 Tm 0.3333 0.6667 0.3381  9 Y 3.48-3.57, 3 Pr 3.60

(11)
BeAsN | PBE | relaxed

Calculated values
E_tot = -35.40 eV/cell
SG = P-1
Formation energy (no corrections) = -0.33 eV per atom
Total magnetic moment = 0.00 μB/cell
Calculated volume = 14.1 Å³/atom

Cell lengths 2.9222, 4.9292, 6.3555 Å; angles 71.59, 76.84, 89.97 degrees
Closest atoms and distances in Å follow each position.
Fractional coordinates of all 6 atoms:
1 Be 0.2343 0.1354 0.0317  3 N 1.64-1.72
2 Be 0.7657 0.8646 0.9683  3 N 1.64-1.72
3 As 0.0877 0.4204 0.3284  1 N 1.87
4 As 0.9123 0.5796 0.6716  1 N 1.87
5 N 0.2058 0.7691 0.0896  3 Be 1.64-1.72
6 N 0.7942 0.2309 0.9104  3 Be 1.64-1.72

(12)
PrHo2Th4 | PBE | relaxed

Calculated values
E_tot = -83.13 eV/cell
SG = P4_2/mnm
Formation enthalpy at 0 K = 0.293 eV per atom
Total magnetic moment = 0.00 μB/cell
Calculated volume = 34.8 Å³/atom

Cell lengths 9.3682, 9.3682, 5.5479 Å; angles 90.00, 90.00, 90.00 degrees
Closest atoms and distances in Å follow each position.
Fractional coordinates of all 14 atoms:
1 Pr 0.0000 0.0000 0.0000  6 Ho 3.71-4.15, 4 Th 3.74
2 Pr 0.5000 0.5000 0.5000  6 Ho 3.71-4.15, 4 Th 3.74
3 Ho 0.1865 0.1865 0.5000  6 Th 3.36-3.38, 2 Pr 3.71
4 Ho 0.3135 0.6865 0.0000  6 Th 3.36-3.38, 2 Pr 3.71
5 Ho 0.6865 0.3135 0.0000  6 Th 3.36-3.38, 2 Pr 3.71
6 Ho 0.8135 0.8135 0.5000  6 Th 3.36-3.38, 2 Pr 3.71
7 Th 0.1203 0.6236 0.5000  6 Th 3.23-3.59, 3 Ho 3.36-3.38
8 Th 0.1236 0.3797 0.0000  6 Th 3.23-3.59, 3 Ho 3.36-3.38
9 Th 0.3764 0.8797 0.5000  6 Th 3.23-3.59, 3 Ho 3.36-3.38
10 Th 0.3797 0.1236 0.0000  6 Th 3.23-3.59, 3 Ho 3.36-3.38
11 Th 0.6203 0.8764 0.0000  6 Th 3.23-3.59, 3 Ho 3.36-3.38
12 Th 0.6236 0.1203 0.5000  6 Th 3.23-3.59, 3 Ho 3.36-3.38
13 Th 0.8764 0.6203 0.0000  6 Th 3.23-3.59, 3 Ho 3.36-3.38
14 Th 0.8797 0.3764 0.5000  6 Th 3.23-3.59, 3 Ho 3.36-3.38

Which value of E_tot does entry 6 give?
-51.69 eV/cell